AlCr2Ir | GGA-PBE | relaxed

Unit cell a=4.3689 b=4.3689 c=2.9566 alpha=90.00 beta=90.00 gamma=90.00
Last column: nearest neighbours and their distance in Å.
Space group P4/mmm (No. 123)
One atom of each set of equivalent atoms:
1 Al 0.0000 0.0000 0.0000 (multiplicity 1)  8 Cr 2.64
2 Cr 0.0000 0.5000 0.5000 (multiplicity 2)  4 Al 2.64, 4 Ir 2.64
3 Ir 0.5000 0.5000 0.0000 (multiplicity 1)  8 Cr 2.64

* ΔH_f (0 K): -0.019 eV/atom
* spin magnetization: 5.9 μB/cell